(1)
Entry from Alexandria via LeMat-Bulk: a relaxed structure of Pa3Se3N2 (PBE-GGA).

## Properties
Size of the total moment: 0.33 μB/atom
Formation energy without anion corrections: -1577 meV/atom

a b c (Å): 3.787 12.661 13.367
angles (deg): 90.00 90.00 90.00
Space group Cmcm (No. 63)
Inequivalent atoms, fractional coordinates:
Pa: 0.000 0.140 0.042
Pa: 0.000 0.189 0.750
Se: 0.000 0.138 0.250
Se: 0.000 0.448 0.115
N: 0.000 0.263 0.579

=====

(2)
Entry from Alexandria via LeMat-Bulk: a relaxed structure of LiPm4Pu3Se8 (PBE-GGA).

## Properties
Size of the total moment: 1.10 μB/atom
Formation energy without anion corrections: -1693 meV/atom

a b c (Å): 8.3186 8.3186 20.3909
angles (deg): 90.00 90.00 120.00
Space group R-3m (No. 166, hexagonal axes)
Inequivalent atoms, fractional coordinates:
Li: 0.0000 0.0000 0.0000
Pm: 0.0000 0.0000 0.5000
Pm: 0.0000 0.5000 0.5000
Pu: 0.0000 0.5000 0.0000
Se: 0.0000 0.0000 0.2519
Se: 0.0054 0.5027 0.7475

=====

no.,N(E_F) (states/eV per cell)
1,32.71
2,86.44